1.
Computed, not measured: a relaxed Nd2Er2Ni15 crystal at the PBE-GGA level of DFT.

Cell and atoms, written as CIF:
```
data_Nd2Er2Ni15
_symmetry_space_group_name_H-M 'R -3 m'
_symmetry_Int_Tables_number 166
_symmetry_space_group_name_Hall '-R 3 2"'
_cell_length_a 8.5752
_cell_length_b 8.5752
_cell_length_c 12.6707
_cell_angle_alpha 90.00
_cell_angle_beta 90.00
_cell_angle_gamma 120.00
loop_
_atom_site_label
_atom_site_type_symbol
_atom_site_fract_x
_atom_site_fract_y
_atom_site_fract_z
_atom_site_occupancy
Nd1 Nd 0.0000 0.0000 0.1418 1
Er1 Er 0.0000 0.0000 0.3895 1
Ni1 Ni 0.0000 0.3046 0.5000 1
Ni2 Ni 0.0000 0.5000 0.0000 1
Ni3 Ni 0.0074 0.5037 0.6569 1
```

Results
The calculation puts the total magnetization at 6.2 Bohr magnetons per cell. The energy of formation from the pure elements comes out at -0.225 eV/atom.



2.
Computed, not measured: a relaxed NdEr2Ni2 crystal at the PBE-GGA level of DFT.

Cell and atoms, written as CIF:
```
data_NdEr2Ni2
_symmetry_space_group_name_H-M 'C 1 2/m 1'
_symmetry_Int_Tables_number 12
_symmetry_space_group_name_Hall '-C 2y'
_cell_length_a 11.625
_cell_length_b 3.792
_cell_length_c 5.475
_cell_angle_alpha 90.00
_cell_angle_beta 103.93
_cell_angle_gamma 90.00
loop_
_atom_site_label
_atom_site_type_symbol
_atom_site_fract_x
_atom_site_fract_y
_atom_site_fract_z
_atom_site_occupancy
Nd1 Nd 0.000 0.000 0.000 1
Er1 Er 0.149 0.500 0.587 1
Ni1 Ni 0.219 0.500 0.115 1
```

Results
The calculation puts the total magnetization at 0.0 Bohr magnetons per cell. The energy of formation from the pure elements comes out at -0.240 eV/atom.



3.
Computed, not measured: a relaxed Nd3ErNi crystal at the PBE-GGA level of DFT.

Cell and atoms, written as CIF:
```
data_Nd3ErNi
_symmetry_space_group_name_H-M 'P m -3 m'
_symmetry_Int_Tables_number 221
_symmetry_space_group_name_Hall '-P 4 2 3'
_cell_length_a 5.462
_cell_length_b 5.462
_cell_length_c 5.462
_cell_angle_alpha 90.00
_cell_angle_beta 90.00
_cell_angle_gamma 90.00
loop_
_atom_site_label
_atom_site_type_symbol
_atom_site_fract_x
_atom_site_fract_y
_atom_site_fract_z
_atom_site_occupancy
Nd1 Nd 0.000 0.000 0.500 1
Er1 Er 0.500 0.500 0.500 1
Ni1 Ni 0.000 0.000 0.000 1
```

Results
The calculation puts the total magnetization at 0.7 Bohr magnetons per cell. The energy of formation from the pure elements comes out at 0.071 eV/atom.



4.
Computed, not measured: a relaxed NdErNi2 crystal at the PBE-GGA level of DFT.

Cell and atoms, written as CIF:
```
data_NdErNi2
_symmetry_space_group_name_H-M 'F m -3 m'
_symmetry_Int_Tables_number 225
_symmetry_space_group_name_Hall '-F 4 2 3'
_cell_length_a 6.844
_cell_length_b 6.844
_cell_length_c 6.844
_cell_angle_alpha 90.00
_cell_angle_beta 90.00
_cell_angle_gamma 90.00
loop_
_atom_site_label
_atom_site_type_symbol
_atom_site_fract_x
_atom_site_fract_y
_atom_site_fract_z
_atom_site_occupancy
Nd1 Nd 0.000 0.000 0.000 1
Er1 Er 0.000 0.000 0.500 1
Ni1 Ni 0.250 0.250 0.250 1
```

Results
The energy above the most stable polymorph in this dataset is 81 meV per atom. The calculation puts the total magnetization at 0.0 Bohr magnetons per cell. The energy of formation from the pure elements comes out at -0.314 eV/atom.



5.
Computed, not measured: a relaxed NdErNi2 crystal at the PBE-GGA level of DFT.

Cell and atoms, written as CIF:
```
data_NdErNi2
_symmetry_space_group_name_H-M 'A m m 2'
_symmetry_Int_Tables_number 38
_symmetry_space_group_name_Hall 'A 2 -2'
_cell_length_a 4.256
_cell_length_b 3.783
_cell_length_c 10.291
_cell_angle_alpha 90.00
_cell_angle_beta 90.00
_cell_angle_gamma 90.00
loop_
_atom_site_label
_atom_site_type_symbol
_atom_site_fract_x
_atom_site_fract_y
_atom_site_fract_z
_atom_site_occupancy
Nd1 Nd 0.000 0.000 0.000 1
Er1 Er 0.500 0.000 0.277 1
Ni1 Ni 0.000 0.000 0.716 1
Ni2 Ni 0.500 0.000 0.574 1
```

Results
The energy above the most stable polymorph in this dataset is 0 meV per atom. The calculation puts the total magnetization at 0.0 Bohr magnetons per cell. The energy of formation from the pure elements comes out at -0.395 eV/atom.



6.
Computed, not measured: a relaxed NdErNi4 crystal at the PBE-GGA level of DFT.

Cell and atoms, written as CIF:
```
data_NdErNi4
_symmetry_space_group_name_H-M 'F -4 3 m'
_symmetry_Int_Tables_number 216
_symmetry_space_group_name_Hall 'F -4 2 3'
_cell_length_a 7.222
_cell_length_b 7.222
_cell_length_c 7.222
_cell_angle_alpha 90.00
_cell_angle_beta 90.00
_cell_angle_gamma 90.00
loop_
_atom_site_label
_atom_site_type_symbol
_atom_site_fract_x
_atom_site_fract_y
_atom_site_fract_z
_atom_site_occupancy
Nd1 Nd 0.000 0.000 0.000 1
Er1 Er 0.250 0.250 0.250 1
Ni1 Ni 0.124 0.124 0.624 1
```

Results
The calculation puts the total magnetization at 0.0 Bohr magnetons per cell. The energy of formation from the pure elements comes out at -0.393 eV/atom.



7.
Computed, not measured: a relaxed NdErNi2P2 crystal at the PBE-GGA level of DFT.

Cell and atoms, written as CIF:
```
data_NdErNi2P2
_symmetry_space_group_name_H-M 'P -3 m 1'
_symmetry_Int_Tables_number 164
_symmetry_space_group_name_Hall '-P 3 2"'
_cell_length_a 3.9141
_cell_length_b 3.9141
_cell_length_c 7.8988
_cell_angle_alpha 90.00
_cell_angle_beta 90.00
_cell_angle_gamma 120.00
loop_
_atom_site_label
_atom_site_type_symbol
_atom_site_fract_x
_atom_site_fract_y
_atom_site_fract_z
_atom_site_occupancy
Nd1 Nd 0.0000 0.0000 0.0000 1
Er1 Er 0.0000 0.0000 0.5000 1
Ni1 Ni 0.3333 0.6667 0.7405 1
P1 P 0.3333 0.6667 0.2620 1
```

Results
The calculation puts the total magnetization at 0.0 Bohr magnetons per cell. The energy of formation from the pure elements comes out at -1.190 eV/atom.



8.
Computed, not measured: a relaxed NdErNiPd crystal at the PBE-GGA level of DFT.

Cell and atoms, written as CIF:
```
data_NdErNiPd
_symmetry_space_group_name_H-M 'A m m 2'
_symmetry_Int_Tables_number 38
_symmetry_space_group_name_Hall 'A 2 -2'
_cell_length_a 4.479
_cell_length_b 3.819
_cell_length_c 10.341
_cell_angle_alpha 90.00
_cell_angle_beta 90.00
_cell_angle_gamma 90.00
loop_
_atom_site_label
_atom_site_type_symbol
_atom_site_fract_x
_atom_site_fract_y
_atom_site_fract_z
_atom_site_occupancy
Nd1 Nd 0.000 0.000 0.000 1
Er1 Er 0.500 0.000 0.721 1
Ni1 Ni 0.000 0.000 0.276 1
Pd1 Pd 0.500 0.000 0.433 1
```

Results
The energy above the most stable polymorph in this dataset is 0 meV per atom. The calculation puts the total magnetization at 0.0 Bohr magnetons per cell. The energy of formation from the pure elements comes out at -0.611 eV/atom.



> What is the energy of formation from the pure elements in the fourth record?

-0.314 eV/atom



> What is the energy of formation from the pure elements in the sixth record?

-0.393 eV/atom



Please write out number 5 again, unchanged.
Computed, not measured: a relaxed NdErNi2 crystal at the PBE-GGA level of DFT.

Cell and atoms, written as CIF:
```
data_NdErNi2
_symmetry_space_group_name_H-M 'A m m 2'
_symmetry_Int_Tables_number 38
_symmetry_space_group_name_Hall 'A 2 -2'
_cell_length_a 4.256
_cell_length_b 3.783
_cell_length_c 10.291
_cell_angle_alpha 90.00
_cell_angle_beta 90.00
_cell_angle_gamma 90.00
loop_
_atom_site_label
_atom_site_type_symbol
_atom_site_fract_x
_atom_site_fract_y
_atom_site_fract_z
_atom_site_occupancy
Nd1 Nd 0.000 0.000 0.000 1
Er1 Er 0.500 0.000 0.277 1
Ni1 Ni 0.000 0.000 0.716 1
Ni2 Ni 0.500 0.000 0.574 1
```

Results
The energy above the most stable polymorph in this dataset is 0 meV per atom. The calculation puts the total magnetization at 0.0 Bohr magnetons per cell. The energy of formation from the pure elements comes out at -0.395 eV/atom.



> energy of formation from the pure elements of number 8 (NdErNiPd)?

-0.611 eV/atom